(1)
Compound: Mg4Br5N
Source: Alexandria
Functional: PBE
Structure: relaxed

Cell: 3.6015 7.4754 9.4611 Å, 101.51 100.97 90.00°
Closest atoms and distances in Å follow each position.
Atoms (fractional coordinates):
Br (0.8512, 0.6839, 0.7023)  3 Mg 2.62-2.72
Br (0.8510, 0.1666, 0.7020)  3 Mg 2.62-2.73
Br (0.5000, 0.5000, 0.0000)  4 Mg 2.87
Br (0.1488, 0.3161, 0.2977)  3 Mg 2.62-2.72
Br (0.1490, 0.8334, 0.2980)  3 Mg 2.62-2.73
N (0.5000, 0.0000, 0.0000)  6 Mg 2.10-2.34
Mg (0.0003, 0.2006, 0.0006)  2 N 2.34
Mg (0.9997, 0.7994, 0.9994)  2 N 2.34
Mg (0.3845, 0.9414, 0.7689)  1 N 2.10
Mg (0.6155, 0.0586, 0.2311)  1 N 2.10

Properties
VASP energy ... -3.5346 eV/atom
Crystal system ... monoclinic
Energy relative to the elements, uncorrected ... -1.228 eV per atom

=====

(2)
Compound: MgBr2N
Source: Alexandria
Functional: PBE
Structure: relaxed

Cell: 3.8865 6.7319 9.3856 Å, 104.77 89.97 90.00°
Closest atoms and distances in Å follow each position.
Atoms (fractional coordinates):
N (0.7776, 0.8504, 0.0528)  6 Br 3.72-3.85, 6 N 3.87-3.91
N (0.2779, 0.3530, 0.0511)  6 Br 3.73-3.87, 6 N 3.87-3.91
Mg (0.7773, 0.3399, 0.5514)  6 Br 2.70
Mg (0.2775, 0.8400, 0.5516)  6 Br 2.70
Br (0.2774, 0.5659, 0.7175)  3 Mg 2.70
Br (0.2780, 0.1144, 0.3857)  3 Mg 2.70
Br (0.7782, 0.6145, 0.3857)  3 Mg 2.70
Br (0.7775, 0.0660, 0.7175)  3 Mg 2.70

Properties
VASP energy ... -3.1357 eV/atom
Crystal system ... monoclinic
Energy relative to the elements, uncorrected ... 0.181 eV per atom

=====

(3)
Compound: Mg2BrN
Source: Alexandria
Functional: PBE
Structure: relaxed

Cell: 5.6950 5.6950 6.3087 Å, 63.17 63.17 90.00°
Closest atoms and distances in Å follow each position.
Atoms (fractional coordinates):
Br (0.0000, 0.0000, 0.0000)  4 Mg 2.82
Br (0.7500, 0.2500, 0.5000)  4 Mg 2.82
N (0.2500, 0.7500, 0.5000)  4 Mg 2.01
N (0.5000, 0.5000, 0.0000)  4 Mg 2.01
Mg (0.3750, 0.4965, 0.7500)  2 N 2.01
Mg (0.8750, 0.7535, 0.7500)  2 N 2.01
Mg (0.5035, 0.1250, 0.2500)  2 N 2.01
Mg (0.2465, 0.6250, 0.2500)  2 N 2.01

Properties
VASP energy ... -4.2224 eV/atom
Crystal system ... tetragonal
Energy relative to the elements, uncorrected ... -0.926 eV per atom

=====

(4)
Compound: MgBr2N
Source: Alexandria
Functional: PBE
Structure: relaxed

Cell: 10.4576 10.4576 10.4576 Å, 21.38 21.38 21.38°
Closest atoms and distances in Å follow each position.
Atoms (fractional coordinates):
Mg (0.5000, 0.5000, 0.5000)  6 Br 2.70
Br (0.1174, 0.1174, 0.1174)  3 Mg 2.70
Br (0.8826, 0.8826, 0.8826)  3 Mg 2.70
N (0.0000, 0.0000, 0.0000)  2 Br 3.60, 6 N 3.88

Properties
VASP energy ... -3.1343 eV/atom
Crystal system ... trigonal
Energy relative to the elements, uncorrected ... 0.182 eV per atom

=====

(5)
Compound: Mg3BrN
Source: Alexandria
Functional: PBE
Structure: relaxed

Cell: 5.2400 5.2400 5.2400 Å, 90.00 90.00 90.00°
Closest atoms and distances in Å follow each position.
Atoms (fractional coordinates):
Br (0.0000, 0.0000, 0.0000)  6 Mg 2.62
N (0.5000, 0.5000, 0.5000)  12 Mg 3.71
Mg (0.0000, 0.0000, 0.5000)  2 Br 2.62
Mg (0.0000, 0.5000, 0.0000)  2 Br 2.62
Mg (0.5000, 0.0000, 0.0000)  2 Br 2.62

Properties
VASP energy ... -1.6163 eV/atom
Crystal system ... cubic
Energy relative to the elements, uncorrected ... 1.340 eV per atom

=====

(6)
Compound: Mg4Br2N
Source: Alexandria
Functional: PBE
Structure: relaxed

Cell: 4.2643 4.2643 8.9626 Å, 76.24 76.24 90.00°
Closest atoms and distances in Å follow each position.
Atoms (fractional coordinates):
N (0.0000, 0.0000, 0.0000)  4 Mg 2.13
Br (0.6893, 0.6893, 0.6214)  5 Mg 2.85-3.12
Br (0.3107, 0.3107, 0.3786)  5 Mg 2.85-3.12
Mg (0.8583, 0.8583, 0.2834)  1 N 2.39
Mg (0.1417, 0.1417, 0.7166)  1 N 2.39
Mg (0.0000, 0.5000, 0.0000)  2 N 2.13
Mg (0.5000, 0.0000, 0.0000)  2 N 2.13

Properties
VASP energy ... -3.0093 eV/atom
Crystal system ... tetragonal
Energy relative to the elements, uncorrected ... -0.431 eV per atom

=====

(7)
Compound: MgBr2N2
Source: Alexandria
Functional: PBE
Structure: relaxed

Cell: 3.8726 3.8809 10.9599 Å, 86.80 90.00 119.93°
Closest atoms and distances in Å follow each position.
Atoms (fractional coordinates):
Mg (0.0000, 0.0000, 0.0000)  6 Br 2.70
N (0.0475, 0.0951, 0.5397)  1 N 1.11
N (0.9525, 0.9049, 0.4603)  1 N 1.11
Br (0.3476, 0.6952, 0.8618)  3 Mg 2.70
Br (0.6524, 0.3048, 0.1382)  3 Mg 2.70

Properties
VASP energy ... -5.2086 eV/atom
Crystal system ... monoclinic
Energy relative to the elements, uncorrected ... -0.890 eV per atom

=====

(8)
Compound: Mg2Br3N2
Source: Alexandria
Functional: PBE
Structure: relaxed

Cell: 3.9594 6.7780 7.7012 Å, 91.21 59.74 73.81°
Closest atoms and distances in Å follow each position.
Atoms (fractional coordinates):
N (0.3816, 0.0776, 0.5596)  1 N 1.17
N (0.6184, 0.9224, 0.4404)  1 N 1.17
Br (0.5000, 0.0000, 0.0000)  4 Mg 2.84-2.91
Br (0.4792, 0.4982, 0.7647)  3 Mg 2.67-2.70
Br (0.5208, 0.5018, 0.2353)  3 Mg 2.67-2.70
Mg (0.9968, 0.7421, 0.1426)  1 N 2.10
Mg (0.0032, 0.2579, 0.8574)  1 N 2.10

Properties
VASP energy ... -4.3926 eV/atom
Crystal system ... triclinic
Energy relative to the elements, uncorrected ... -0.841 eV per atom

=====

(9)
Compound: Mg2BrN
Source: Alexandria
Functional: PBE
Structure: relaxed

Cell: 3.3925 3.3925 6.5751 Å, 75.05 75.05 60.00°
Closest atoms and distances in Å follow each position.
Atoms (fractional coordinates):
Br (0.5000, 0.5000, 0.5000)  6 Mg 2.90
Mg (0.7199, 0.7199, 0.8403)  3 N 2.20
Mg (0.2801, 0.2801, 0.1597)  3 N 2.20
N (0.0000, 0.0000, 0.0000)  6 Mg 2.20

Properties
VASP energy ... -4.2427 eV/atom
Crystal system ... trigonal
Energy relative to the elements, uncorrected ... -0.946 eV per atom

=====

(10)
Compound: Mg2BrNO
Source: Alexandria
Functional: PBE
Structure: relaxed

Cell: 4.2472 4.3202 4.2472 Å, 90.00 90.00 90.00°
Closest atoms and distances in Å follow each position.
Atoms (fractional coordinates):
Mg (0.0000, 0.0000, 0.5000)  2 N 2.12
Mg (0.5000, 0.0000, 0.0000)  2 N 2.12
O (0.5000, 0.5000, 0.5000)  4 Br 3.00, 8 Mg 3.03
N (0.0000, 0.0000, 0.0000)  4 Mg 2.12, 2 Br 2.16
Br (0.0000, 0.5000, 0.0000)  2 N 2.16

Properties
VASP energy ... -3.6996 eV/atom
Crystal system ... tetragonal
Energy relative to the elements, uncorrected ... -0.070 eV per atom

=====

(11)
Compound: Pm2MgBr2N2
Source: Alexandria
Functional: PBE
Structure: relaxed

Cell: 4.0707 4.0707 9.7160 Å, 102.09 102.09 90.00°
Closest atoms and distances in Å follow each position.
Atoms (fractional coordinates):
Pm (0.4188, 0.4188, 0.8375)  4 N 2.53
Pm (0.5812, 0.5812, 0.1625)  4 N 2.53
Br (0.8352, 0.8352, 0.6705)  1 Mg 3.06, 4 Pm 3.27
Br (0.1648, 0.1648, 0.3295)  1 Mg 3.06, 4 Pm 3.27
N (0.0000, 0.5000, 0.0000)  2 Mg 2.04
N (0.5000, 0.0000, 0.0000)  2 Mg 2.04
Mg (0.0000, 0.0000, 0.0000)  4 N 2.04

Properties
VASP energy ... -5.8232 eV/atom
Crystal system ... tetragonal
Energy relative to the elements, uncorrected ... -1.381 eV per atom

=====

(12)
Compound: Pr2MgBr2N2
Source: Alexandria
Functional: PBE
Structure: relaxed

Cell: 4.1177 4.1177 9.5334 Å, 102.47 102.47 90.00°
Closest atoms and distances in Å follow each position.
Atoms (fractional coordinates):
Pr (0.5851, 0.5851, 0.1703)  4 N 2.57
Pr (0.4149, 0.4149, 0.8297)  4 N 2.57
Br (0.8303, 0.8303, 0.6605)  1 Mg 3.08, 4 Pr 3.29
Br (0.1697, 0.1697, 0.3395)  1 Mg 3.08, 4 Pr 3.29
Mg (0.0000, 0.0000, 0.0000)  4 N 2.06
N (0.5000, 0.0000, 0.0000)  2 Mg 2.06
N (0.0000, 0.5000, 0.0000)  2 Mg 2.06

Properties
VASP energy ... -5.8203 eV/atom
Crystal system ... tetragonal
Energy relative to the elements, uncorrected ... -1.370 eV per atom